# 1
This record from the Alexandria database describes La2MgP3Pt4 after structural relaxation. The functional is GGA-PBE.

Calculated values
Its total energy is -0.2276 hartree per atom. The value obtained for the volume is 187 Å³/cell. The space-group type is P-4m2, No. 115. As for the energy of formation from the pure elements: -1.008 eV/atom.

abc: 4.2443 4.2443 10.3821
angles: 90.00 90.00 90.00
Closest atoms and distances in Å follow each position.
Element x y z (fractional)
La (0.5000, 0.0000, 0.2358)  6 P 3.19-3.47, 8 Pt 3.24-3.26, 2 Mg 3.47
La (0.0000, 0.5000, 0.7642)  6 P 3.19-3.47, 8 Pt 3.24-3.26, 2 Mg 3.47
Mg (0.5000, 0.5000, 0.5000)  4 Pt 2.57
P (0.0000, 0.0000, 0.5000)  4 Pt 2.57
P (0.5000, 0.0000, 0.8692)  5 Pt 2.37-2.52
P (0.0000, 0.5000, 0.1308)  5 Pt 2.37-2.52
Pt (0.5000, 0.5000, 0.0000)  4 P 2.52
Pt (0.0000, 0.0000, 0.0000)  4 P 2.52
Pt (0.5000, 0.0000, 0.6404)  3 P 2.37-2.57, 2 Mg 2.57
Pt (0.0000, 0.5000, 0.3596)  3 P 2.37-2.57, 2 Mg 2.57


# 2
This record from the Alexandria database describes LaReHRh after structural relaxation. The functional is GGA-PBE.

Calculated values
Its total energy is -0.2571 hartree per atom. The value obtained for the volume is 127 Å³/cell. The space-group type is Imm2, No. 44.

abc: 2.9006 3.8783 11.2513
angles: 90.00 90.00 90.00
Closest atoms and distances in Å follow each position.
Element x y z (fractional)
Re (0.0000, 0.0000, 0.1634)  4 Rh 2.62, 1 H 2.86, 2 Re 2.90
Re (0.5000, 0.5000, 0.6634)  4 Rh 2.62, 1 H 2.86, 2 Re 2.90
Rh (0.0000, 0.0000, 0.5744)  1 H 1.76
Rh (0.5000, 0.5000, 0.0744)  1 H 1.76
H (0.0000, 0.0000, 0.4180)  1 Rh 1.76
H (0.5000, 0.5000, 0.9180)  1 Rh 1.76
La (0.0000, 0.0000, 0.8689)  4 H 2.48
La (0.5000, 0.5000, 0.3689)  4 H 2.48


# 3
This record from the Alexandria database describes PbWSeN2 after structural relaxation. The functional is GGA-PBE.

Calculated values
The value obtained for the uncorrected formation energy is 225 kJ/mol of atoms. Its total energy is -0.1846 hartree per atom. The value obtained for the volume is 101 Å³/cell. The space-group type is P4/mmm, No. 123.

abc: 4.2647 4.2647 5.5692
angles: 90.00 90.00 90.00
Closest atoms and distances in Å follow each position.
Element x y z (fractional)
Pb (0.0000, 0.0000, 0.0000)  4 N 2.13
Se (0.0000, 0.0000, 0.5000)  2 Pb 2.78, 4 W 3.02
W (0.5000, 0.5000, 0.5000)  4 Se 3.02
N (0.0000, 0.5000, 0.0000)  2 Pb 2.13
N (0.5000, 0.0000, 0.0000)  2 Pb 2.13


# 4
This record from the Alexandria database describes Pm4Pr5Ga after structural relaxation. The functional is GGA-PBE.

Calculated values
Its total energy is -0.1687 hartree per atom. The value obtained for the volume is 330 Å³/cell. The space-group type is P4/mmm, No. 123. As for the energy of formation from the pure elements: 0.003 eV/atom.

abc: 4.2300 4.2300 18.4438
angles: 90.00 90.00 90.00
Closest atoms and distances in Å follow each position.
Element x y z (fractional)
Pm (0.0000, 0.0000, 0.1899)  1 Ga 3.50, 8 Pr 3.55-3.57, 1 Pm 3.82
Pm (0.0000, 0.0000, 0.3970)  8 Pr 3.54-3.55, 2 Pm 3.80-3.82
Pm (0.0000, 0.0000, 0.6030)  8 Pr 3.54-3.55, 2 Pm 3.80-3.82
Pm (0.0000, 0.0000, 0.8101)  1 Ga 3.50, 8 Pr 3.55-3.57, 1 Pm 3.82
Pr (0.5000, 0.5000, 0.0839)  1 Pr 3.10, 4 Ga 3.37
Pr (0.5000, 0.5000, 0.2935)  8 Pm 3.55, 2 Pr 3.81-3.86
Pr (0.5000, 0.5000, 0.5000)  8 Pm 3.54, 2 Pr 3.81
Pr (0.5000, 0.5000, 0.7065)  8 Pm 3.55, 2 Pr 3.81-3.86
Pr (0.5000, 0.5000, 0.9161)  1 Pr 3.10, 4 Ga 3.37
Ga (0.0000, 0.0000, 0.0000)  8 Pr 3.37, 2 Pm 3.50


# 5
This record from the Alexandria database describes La2PrAgSe5 after structural relaxation. The functional is GGA-PBE.

Calculated values
The value obtained for the uncorrected formation energy is -158 kJ/mol of atoms. Its total energy is -0.2027 hartree per atom. The value obtained for the volume is 484 Å³/cell. The space-group type is Cmc2_1, No. 36.

abc: 4.2541 9.1894 12.7173
angles: 90.00 90.00 103.38
Closest atoms and distances in Å follow each position.
Element x y z (fractional)
La (0.8779, 0.7558, 0.8078)  8 Se 3.06-3.37
La (0.1107, 0.2214, 0.6845)  8 Se 3.06-3.25
La (0.1221, 0.2442, 0.3078)  8 Se 3.06-3.37
La (0.8893, 0.7786, 0.1845)  8 Se 3.06-3.25
Pr (0.8044, 0.6089, 0.5075)  6 Se 2.87-3.00
Pr (0.1956, 0.3911, 0.0075)  6 Se 2.87-3.00
Ag (0.5530, 0.1061, 0.9599)  4 Se 2.59-2.89
Ag (0.4470, 0.8939, 0.4599)  4 Se 2.59-2.89
Se (0.3621, 0.7241, 0.0008)  1 Pr 2.98, 4 La 3.20-3.26
Se (0.6907, 0.3815, 0.8416)  1 Ag 2.89, 2 Pr 3.00
Se (0.4981, 0.9961, 0.7715)  1 Ag 2.59
Se (0.2893, 0.5785, 0.6728)  2 Pr 3.00, 3 La 3.16-3.20
Se (0.9572, 0.9144, 0.5775)  2 Ag 2.61, 1 Pr 2.87
Se (0.6379, 0.2759, 0.5008)  1 Pr 2.98, 4 La 3.20-3.26
Se (0.3093, 0.6185, 0.3416)  1 Ag 2.89, 2 Pr 3.00
Se (0.5019, 0.0039, 0.2715)  1 Ag 2.59
Se (0.7107, 0.4215, 0.1728)  2 Pr 3.00, 3 La 3.16-3.20
Se (0.0428, 0.0856, 0.0775)  2 Ag 2.61, 1 Pr 2.87


# 6
This record from the Alexandria database describes Np3Ge2Rh6 after structural relaxation. The functional is GGA-PBE.

Calculated values
Its total energy is -0.3235 hartree per atom. The value obtained for the volume is 381 Å³/cell. The space-group type is Im-3m, No. 229. As for the energy of formation from the pure elements: -0.423 eV/atom.

abc: 7.9123 7.9123 7.9123
angles: 109.47 109.47 109.47
Closest atoms and distances in Å follow each position.
Element x y z (fractional)
Np (0.7380, 0.0000, 0.7380)  4 Rh 2.89, 4 Ge 3.23
Np (0.2620, 0.0000, 0.2620)  4 Rh 2.89, 4 Ge 3.23
Np (0.0000, 0.2620, 0.2620)  4 Rh 2.89, 4 Ge 3.23
Np (0.0000, 0.7380, 0.7380)  4 Rh 2.89, 4 Ge 3.23
Np (0.2620, 0.2620, 0.0000)  4 Rh 2.89, 4 Ge 3.23
Np (0.7380, 0.7380, 0.0000)  4 Rh 2.89, 4 Ge 3.23
Ge (0.0000, 0.5000, 0.0000)  6 Rh 2.64
Ge (0.5000, 0.0000, 0.0000)  6 Rh 2.64
Ge (0.0000, 0.0000, 0.5000)  6 Rh 2.64
Ge (0.5000, 0.5000, 0.5000)  6 Rh 2.64
Rh (0.6479, 0.2957, 0.6479)  2 Ge 2.64, 6 Rh 2.67-2.70, 2 Np 2.89
Rh (0.6479, 0.0000, 0.3521)  2 Ge 2.64, 6 Rh 2.67-2.70, 2 Np 2.89
Rh (0.3521, 0.0000, 0.6479)  2 Ge 2.64, 6 Rh 2.67-2.70, 2 Np 2.89
Rh (0.3521, 0.7043, 0.3521)  2 Ge 2.64, 6 Rh 2.67-2.70, 2 Np 2.89
Rh (0.0000, 0.6479, 0.3521)  2 Ge 2.64, 6 Rh 2.67-2.70, 2 Np 2.89
Rh (0.7043, 0.3521, 0.3521)  2 Ge 2.64, 6 Rh 2.67-2.70, 2 Np 2.89
Rh (0.2957, 0.6479, 0.6479)  2 Ge 2.64, 6 Rh 2.67-2.70, 2 Np 2.89
Rh (0.0000, 0.3521, 0.6479)  2 Ge 2.64, 6 Rh 2.67-2.70, 2 Np 2.89
Rh (0.3521, 0.6479, 0.0000)  2 Ge 2.64, 6 Rh 2.67-2.70, 2 Np 2.89
Rh (0.6479, 0.6479, 0.2957)  2 Ge 2.64, 6 Rh 2.67-2.70, 2 Np 2.89
Rh (0.3521, 0.3521, 0.7043)  2 Ge 2.64, 6 Rh 2.67-2.70, 2 Np 2.89
Rh (0.6479, 0.3521, 0.0000)  2 Ge 2.64, 6 Rh 2.67-2.70, 2 Np 2.89